MnSe3O | the Alexandria database | PBE with a Hubbard U | relaxed; energy above the lowest structure with this stoichiometry = 0 meV/atom; total magnetization = 4.9 μB/cell; crystal system = cubic; density = 5.502 g cm⁻³
1.0
4.529 0.000 0.000
0.000 4.529 0.000
0.000 0.000 4.529
Se Mn O
3 1 1
direct
0.500 0.000 0.000
0.000 0.000 0.500
0.000 0.500 0.000
0.500 0.500 0.500
0.000 0.000 0.000